The following is a PBE calculation of LiErMg after structural relaxation, from OQMD. Values from VASP.

Values from the calculation:
theoretical density: 3.559 g/cm3
distance to the lowest polymorph of the same formula: 0.94 eV per formula unit
space-group type: F-43m
VASP energy: -5.94 eV per cell

Cell and atoms, written as Quantum ESPRESSO input:
```
&SYSTEM
  ibrav = 0, nat = 3, ntyp = 3
/
ATOMIC_SPECIES
Li 6.94 Li.upf
Er 167.26 Er.upf
Mg 24.30 Mg.upf
CELL_PARAMETERS angstrom
0.000 3.591 3.591
3.591 0.000 3.591
3.591 3.591 0.000
ATOMIC_POSITIONS angstrom
Li 0.000 0.000 0.000
Er 1.796 1.796 1.796
Mg 3.591 3.591 3.591
```